[1]
# ZnFe2CuH

Crystalline ZnFe2CuH at its relaxed geometry (PBE, the Alexandria database).

The calculation puts the volume at 52 Å³ per cell. As for the energy above the most stable polymorph in this dataset: 60 meV per atom. The total energy is -5.0389 eV/atom. The total magnetization is 4.6 μB/cell. Its density of states at the Fermi level is 0.39 states/eV/atom.

Cell lengths 3.578, 3.578, 4.022 Å; angles 90.00, 90.00, 90.00 degrees
Each line ends with the local moment (μB).
Atoms (fractional coordinates):
Fe  0.500  0.000  0.000  2.35
Fe  0.000  0.500  0.000  2.35
H  0.000  0.000  0.000  -0.02
Zn  0.000  0.000  0.500  -0.06
Cu  0.500  0.500  0.500  0.06

***

[2]
# ZnFeCu2H

Crystalline ZnFeCu2H at its relaxed geometry (PBE, the Alexandria database).

The calculation puts the volume at 51 Å³ per cell. The total energy is -4.1795 eV/atom. The total magnetization is 1.6 μB/cell. Its density of states at the Fermi level is 0.42 states/eV/atom.

Cell lengths 3.753, 3.753, 3.644 Å; angles 90.00, 90.00, 90.00 degrees
Each line ends with the local moment (μB).
Atoms (fractional coordinates):
Fe  0.000  0.000  0.500  1.85
Zn  0.500  0.500  0.500  -0.05
H  0.000  0.000  0.000  -0.01
Cu  0.500  0.000  0.000  -0.04
Cu  0.000  0.500  0.000  -0.04

***

Look up the total magnetization of the second one. 1.6 μB/cell